No. 1
Compound: TbGd2Sb3
Source: the Open Quantum Materials Database
Functional: PBE
Structure: optimized geometry

Cell: 4.411 4.411 10.798 Å, 90.00 90.00 120.00°
Positions (direct):
Tb 0.000 0.000 0.000
Gd 0.333 0.667 0.667
Gd 0.667 0.333 0.333
Sb 0.000 0.000 0.500
Sb 0.333 0.667 0.166
Sb 0.667 0.333 0.834

Results
DFT total energy ... -33.26 eV per cell
Space-group type ... P-3m1

No. 2
Compound: TbGdSb2
Source: the Open Quantum Materials Database
Functional: PBE
Structure: optimized geometry

Cell: 4.408 4.408 6.234 Å, 90.00 90.00 90.00°
Positions (direct):
Tb 0.000 0.000 0.000
Gd 0.500 0.500 0.500
Sb 0.000 0.000 0.500
Sb 0.500 0.500 0.000

Results
DFT total energy ... -22.15 eV per cell
Space-group type ... P4/mmm

No. 3
Compound: TbGdSb
Source: the Open Quantum Materials Database
Functional: PBE
Structure: optimized geometry

Cell: 5.099 5.099 5.099 Å, 60.00 60.00 60.00°
Positions (direct):
Tb 0.000 0.000 0.000
Gd 0.500 0.500 0.500
Sb 0.750 0.750 0.750

Results
Excess energy over the best structure of this formula in the dataset ... 0.000 eV per atom
DFT total energy ... -15.12 eV per cell
Space-group type ... F-43m

No. 4
Compound: Gd3Sb2Te
Source: the Open Quantum Materials Database
Functional: PBE
Structure: optimized geometry

Cell: 4.417 4.417 10.800 Å, 90.00 90.00 120.00°
Positions (direct):
Gd 0.000 0.000 0.000
Gd 0.333 0.667 0.324
Gd 0.667 0.333 0.676
Sb 0.333 0.667 0.834
Sb 0.667 0.333 0.166
Te 0.000 0.000 0.500

Results
DFT total energy ... -32.93 eV per cell
Space-group type ... P-3m1

No. 5
Compound: Gd4SbTe3
Source: the Open Quantum Materials Database
Functional: PBE
Structure: optimized geometry

Cell: 7.619 7.619 7.619 Å, 131.87 131.87 70.44°
Positions (direct):
Gd 0.000 0.500 0.500
Gd 0.244 0.244 0.000
Gd 0.500 0.000 0.500
Gd 0.756 0.756 0.000
Sb 0.000 0.000 0.000
Te 0.250 0.750 0.500
Te 0.500 0.500 0.000
Te 0.750 0.250 0.500

Results
DFT total energy ... -42.76 eV per cell
Space-group type ... I4/mmm

No. 6
Compound: GdSb4Te7
Source: the Open Quantum Materials Database
Functional: PBE
Structure: optimized geometry

Cell: 4.375 4.375 24.695 Å, 90.00 90.00 120.00°
Positions (direct):
Gd 0.000 0.000 0.000
Sb 0.333 0.667 0.579
Sb 0.333 0.667 0.835
Sb 0.667 0.333 0.165
Sb 0.667 0.333 0.421
Te 0.000 0.000 0.229
Te 0.000 0.000 0.500
Te 0.000 0.000 0.771
Te 0.333 0.667 0.074
Te 0.333 0.667 0.353
Te 0.667 0.333 0.647
Te 0.667 0.333 0.926

Results
DFT total energy ... -47.09 eV per cell
Space-group type ... P-3m1

No. 7
Compound: GdTlSbTe3
Source: the Open Quantum Materials Database
Functional: PBE
Structure: optimized geometry

Cell: 8.006 8.006 12.479 Å, 90.00 90.00 149.08°
Positions (direct):
Gd 0.000 0.000 0.000
Gd 0.000 0.000 0.500
Tl 0.290 0.710 0.750
Tl 0.710 0.290 0.250
Sb 0.386 0.614 0.250
Sb 0.614 0.386 0.750
Te 0.037 0.963 0.250
Te 0.357 0.643 0.011
Te 0.357 0.643 0.489
Te 0.643 0.357 0.511
Te 0.643 0.357 0.989
Te 0.963 0.037 0.750

Results
DFT total energy ... -47.84 eV per cell
Space-group type ... Cmcm

No. 8
Compound: GdTlSb
Source: the Open Quantum Materials Database
Functional: PBE
Structure: optimized geometry

Cell: 5.157 5.157 5.157 Å, 60.00 60.00 60.00°
Positions (direct):
Gd 0.000 0.000 0.000
Tl 0.250 0.250 0.250
Sb 0.500 0.500 0.500

Results
Excess energy over the best structure of this formula in the dataset ... 0.201 eV per atom
DFT total energy ... -11.40 eV per cell
Space-group type ... F-43m

No. 9
Compound: GdTlSb
Source: the Open Quantum Materials Database
Functional: PBE
Structure: optimized geometry

Cell: 5.165 5.165 5.165 Å, 60.00 60.00 60.00°
Positions (direct):
Gd 0.000 0.000 0.000
Tl 0.250 0.250 0.250
Sb 0.750 0.750 0.750

Results
Excess energy over the best structure of this formula in the dataset ... 0.000 eV per atom
DFT total energy ... -12.00 eV per cell
Space-group type ... F-43m

No. 10
Compound: Gd2TmSb3
Source: the Open Quantum Materials Database
Functional: PBE
Structure: optimized geometry

Cell: 4.390 4.390 10.745 Å, 90.00 90.00 120.00°
Positions (direct):
Gd 0.333 0.667 0.169
Gd 0.667 0.333 0.831
Tm 0.000 0.000 0.500
Sb 0.000 0.000 0.000
Sb 0.333 0.667 0.662
Sb 0.667 0.333 0.338

Results
DFT total energy ... -32.93 eV per cell
Space-group type ... P-3m1

No. 11
Compound: GdTmSb
Source: the Open Quantum Materials Database
Functional: PBE
Structure: optimized geometry

Cell: 5.055 5.055 5.055 Å, 60.00 60.00 60.00°
Positions (direct):
Gd 0.000 0.000 0.000
Tm 0.500 0.500 0.500
Sb 0.750 0.750 0.750

Results
Excess energy over the best structure of this formula in the dataset ... 0.000 eV per atom
DFT total energy ... -14.76 eV per cell
Space-group type ... F-43m

No. 12
Compound: GdTmSb2
Source: the Open Quantum Materials Database
Functional: PBE
Structure: optimized geometry

Cell: 4.375 4.375 6.188 Å, 90.00 90.00 90.00°
Positions (direct):
Gd 0.000 0.000 0.000
Tm 0.500 0.500 0.500
Sb 0.000 0.000 0.500
Sb 0.500 0.500 0.000

Results
DFT total energy ... -21.81 eV per cell
Space-group type ... P4/mmm